Record 1
DFT (PBE-GGA) results for a geometry-optimized CaScTl structure.

Summary:
The spin magnetization comes out at 0.0 μB per formula unit. As for the symmetry: F-43m. The calculation puts the total energy at -3.63 eV per atom. The density of states at the Fermi level is 0.23 states/eV/cell. The value obtained for the formation energy is -0.06 eV per atom.

a = 5.1102 Å, b = 5.1102 Å, c = 5.1102 Å
α = 60.00°, β = 60.00°, γ = 60.00°
Sites, in units of the cell vectors:
Sc (0.2500, 0.2500, 0.2500)
Tl (0.0000, 0.0000, 0.0000)
Ca (0.7500, 0.7500, 0.7500)

***

Record 2
DFT (PBE-GGA) results for a geometry-optimized CaVSn2 structure.

Summary:
The spin magnetization comes out at 3.0 μB per formula unit. As for the symmetry: I-42d. The calculation puts the total energy at -4.58 eV per atom. The density of states at the Fermi level is 3.49 states/eV/cell. The value obtained for the formation energy is 0.20 eV per atom.

a = 4.9950 Å, b = 4.9950 Å, c = 10.1315 Å
α = 75.73°, β = 75.73°, γ = 90.00°
Sites, in units of the cell vectors:
Ca (0.5000, 0.5000, 0.0000)
Ca (0.2500, 0.7500, 0.5000)
Sn (0.7121, 0.1250, 0.2500)
Sn (0.0379, 0.6250, 0.2500)
Sn (0.3750, 0.2879, 0.7500)
Sn (0.8750, 0.9621, 0.7500)
V (0.0000, 0.0000, 0.0000)
V (0.7500, 0.2500, 0.5000)

***

Record 3
DFT (PBE-GGA) results for a geometry-optimized Ce6Ge2PSe3 structure.

Summary:
The spin magnetization comes out at 4.5 μB per formula unit. As for the symmetry: C2/m. The calculation puts the total energy at -6.48 eV per atom. The density of states at the Fermi level is 29.70 states/eV/cell.

a = 4.2076 Å, b = 8.4079 Å, c = 9.4021 Å
α = 102.87°, β = 102.93°, γ = 90.00°
Sites, in units of the cell vectors:
Ce (0.3375, 0.9165, 0.6749)
Ce (0.6674, 0.5811, 0.3348)
Ce (0.6625, 0.0835, 0.3251)
Ce (0.0004, 0.2394, 0.0008)
Ce (0.9996, 0.7606, 0.9992)
Ce (0.3326, 0.4189, 0.6652)
Ge (0.8339, 0.6673, 0.6677)
Ge (0.1661, 0.3327, 0.3323)
P (0.5000, 0.0000, 0.0000)
Se (0.5000, 0.5000, 0.0000)
Se (0.8323, 0.1663, 0.6646)
Se (0.1677, 0.8337, 0.3354)

***

Record 4
DFT (PBE-GGA) results for a geometry-optimized ZnBiN3 structure.

Summary:
The spin magnetization comes out at 2.8 μB per formula unit. As for the symmetry: Pm-3m. The calculation puts the total energy at -4.39 eV per atom. The density of states at the Fermi level is 3.81 states/eV/cell.

a = 3.9667 Å, b = 3.9667 Å, c = 3.9667 Å
α = 90.00°, β = 90.00°, γ = 90.00°
Sites, in units of the cell vectors:
Zn (0.0000, 0.0000, 0.0000)
Bi (0.5000, 0.5000, 0.5000)
N (0.0000, 0.5000, 0.0000)
N (0.0000, 0.0000, 0.5000)
N (0.5000, 0.0000, 0.0000)

***

Record 5
DFT (PBE-GGA) results for a geometry-optimized BaHg2Os structure.

Summary:
The spin magnetization comes out at 0.7 μB per formula unit. As for the symmetry: C2/m. The calculation puts the total energy at -2.64 eV per atom. The density of states at the Fermi level is 2.61 states/eV/cell. The value obtained for the formation energy is 0.80 eV per atom.

a = 6.1392 Å, b = 6.1392 Å, c = 3.4664 Å
α = 76.56°, β = 76.56°, γ = 119.00°
Sites, in units of the cell vectors:
Os (0.5000, 0.0000, 0.5000)
Hg (0.0000, 0.0000, 0.0000)
Hg (0.5000, 0.5000, 0.0000)
Ba (0.0000, 0.5000, 0.5000)

***

Record 6
DFT (PBE-GGA) results for a geometry-optimized Ca2YW structure.

Summary:
The spin magnetization comes out at 0.0 μB per formula unit. As for the symmetry: P4mm. The calculation puts the total energy at -5.26 eV per atom. The density of states at the Fermi level is 4.50 states/eV/cell. The value obtained for the formation energy is 0.60 eV per atom.

a = 3.7613 Å, b = 3.7613 Å, c = 8.4627 Å
α = 90.00°, β = 90.00°, γ = 90.00°
Sites, in units of the cell vectors:
Y (0.5000, 0.5000, 0.6858)
Ca (0.0000, 0.0000, 0.9621)
Ca (0.5000, 0.5000, 0.3080)
W (0.0000, 0.0000, 0.5441)